Run a
## Zn2AuCl (PBE)

Data for a relaxed Zn2AuCl crystal.

Output
Symmetry: Immm

POSCAR file:
```
Zn2AuCl
1.0
5.392 -0.036 0.027
0.668 5.350 -0.027
-1.686 -4.188 2.947
Cl Zn Au
1 2 1
Cartesian
1.005 1.909 1.460
6.048 5.304 0.000
3.040 2.666 0.000
3.367 -0.784 1.487
```

Run b
## Zn2AuCl (PBE)

Data for a relaxed Zn2AuCl crystal.

Output
Symmetry: Pm

POSCAR file:
```
Zn2AuCl
1.0
-1.883 1.908 -4.580
-3.950 -1.106 1.163
-2.080 3.170 2.176
Au Zn Cl
1 2 1
Cartesian
-2.235 0.757 1.234
-0.080 -0.012 0.028
-3.230 1.759 -1.014
-5.383 2.501 0.180
```

Which of them is least stable? Easy: run a.